# CrS2NCl, optimized geometry, DFT PBE
# raw total energy: -23.02 eV/cell
# polymorph energy (0 for the lowest one): 543.7 meV/atom
# V: 15.1 A^3/atom
# raw formation energy: 1.01 eV per atom
data_CrS2NCl
_symmetry_space_group_name_H-M 'P 4/m m m'
_symmetry_Int_Tables_number 123
_symmetry_space_group_name_Hall '-P 4 2'
_cell_length_a 4.0498
_cell_length_b 4.0498
_cell_length_c 4.5917
_cell_angle_alpha 90.00
_cell_angle_beta 90.00
_cell_angle_gamma 90.00
loop_
_atom_site_label
_atom_site_fract_x
_atom_site_fract_y
_atom_site_fract_z
Cr1 0.0000 0.0000 0.0000
S1 0.0000 0.5000 0.5000
N1 0.5000 0.5000 0.5000
Cl1 0.5000 0.5000 0.0000